The following is a DFT calculation (GGA-PBE) of a relaxed Na3Pa3AuSe8 crystal.

Cell and atoms, written as CIF:
```
data_Na3Pa3AuSe8
_chemical_formula_sum 'Na6 Pa6 Au2 Se16'
_space_group_name_H-M_alt 'C 1 2/m 1'
_space_group_IT_number 12
_space_group_name_Hall '-C 2y'
_cell_length_a 13.724
_cell_length_b 8.608
_cell_length_c 8.330
_cell_angle_alpha 90.00
_cell_angle_beta 122.48
_cell_angle_gamma 90.00
loop_
_atom_site_label
_atom_site_type_symbol
_atom_site_fract_x
_atom_site_fract_y
_atom_site_fract_z
Na1 Na 0.000 0.000 0.000
Na2 Na 0.250 0.250 0.000
Pa1 Pa 0.000 0.500 0.500
Pa2 Pa 0.250 0.250 0.500
Au1 Au 0.000 0.000 0.500
Se1 Se 0.012 0.282 0.256
Se2 Se 0.222 0.000 0.709
Se3 Se 0.249 0.500 0.736
```

Calculated values
Calculated volume = 830 Å³ per cell
ΔE_f (raw) = -1.12 eV/atom
DOS(E_F) = 29.421 states/eV/cell
Crystal system = monoclinic